A relaxed structure of Sm9Dy4Er11. Source: Alexandria via LeMat-Bulk, functional PBE.

The space group is Cmmm (No. 65) and the conventional cell measures 16.647, 25.214 and 3.687 Å, with angles of 90.00, 90.00 and 90.00 degrees. The distinct sites, in fractional coordinates, are Sm at (0.000, 0.000, 0.000), Sm at (0.103, 0.234, 0.000), Sm at (0.140, 0.427, 0.000), Dy at (0.155, 0.100, 0.000), Er at (0.000, 0.133, 0.500), Er at (0.000, 0.339, 0.500), Er at (0.000, 0.500, 0.500), Er at (0.210, 0.000, 0.500) and Er at (0.226, 0.319, 0.500).

As for the formation energy: 49 meV per atom. The value obtained for the total magnetization is 0.000 μB/cell.


A relaxed structure of Sm8Dy6Er. Source: Alexandria via LeMat-Bulk, functional PBE.

The space group is P-3 (No. 147) and the conventional cell measures 9.3913, 9.3913 and 6.5278 Å, with angles of 90.00, 90.00 and 120.00 degrees. The distinct sites, in fractional coordinates, are Sm at (0.0340, 0.2837, 0.3334), Sm at (0.3333, 0.6667, 0.3795), Dy at (0.0915, 0.4371, 0.8398) and Er at (0.0000, 0.0000, 0.0000).

As for the formation energy: 177 meV per atom. The value obtained for the total magnetization is 0.000 μB/cell.


A relaxed structure of Sm6Dy3Er2. Source: Alexandria via LeMat-Bulk, functional PBE.

The space group is I4/mmm (No. 139) and the conventional cell measures 4.754, 4.754 and 33.422 Å, with angles of 90.00, 90.00 and 90.00 degrees. The distinct sites, in fractional coordinates, are Sm at (0.000, 0.000, 0.199), Sm at (0.000, 0.500, 0.120), Dy at (0.000, 0.000, 0.302), Dy at (0.000, 0.000, 0.500) and Er at (0.000, 0.000, 0.045).

As for the formation energy: 294 meV per atom. The value obtained for the total magnetization is 0.001 μB/cell.


A relaxed structure of Sm5DyEr4. Source: Alexandria via LeMat-Bulk, functional PBE.

The space group is I4 (No. 79) and the conventional cell measures 10.216, 10.216 and 6.291 Å, with angles of 90.00, 90.00 and 90.00 degrees. The distinct sites, in fractional coordinates, are Sm at (0.000, 0.000, 0.000), Sm at (0.148, 0.768, 0.270), Dy at (0.000, 0.000, 0.541) and Er at (0.046, 0.654, 0.768).

As for the formation energy: 299 meV per atom. The value obtained for the total magnetization is 0.006 μB/cell.


A relaxed structure of Sm12DyEr7. Source: Alexandria via LeMat-Bulk, functional PBE.

The space group is R-3m (No. 166, hexagonal axes) and the conventional cell measures 19.5404, 19.5404 and 6.1377 Å, with angles of 90.00, 90.00 and 120.00 degrees. The distinct sites, in fractional coordinates, are Sm at (0.0000, 0.4134, 0.0000), Sm at (0.0977, 0.5488, 0.4634), Dy at (0.0000, 0.0000, 0.5000), Er at (0.0000, 0.0000, 0.0000) and Er at (0.0813, 0.1627, 0.2930).

As for the formation energy: 255 meV per atom. The value obtained for the total magnetization is 0.000 μB/cell.


A relaxed structure of Sm6Dy5Er. Source: Alexandria via LeMat-Bulk, functional PBE.

The space group is Immm (No. 71) and the conventional cell measures 5.066, 10.105 and 15.203 Å, with angles of 90.00, 90.00 and 90.00 degrees. The distinct sites, in fractional coordinates, are Sm at (0.000, 0.250, 0.000), Sm at (0.000, 0.250, 0.333), Dy at (0.000, 0.000, 0.167), Dy at (0.000, 0.000, 0.500), Dy at (0.000, 0.500, 0.167) and Er at (0.000, 0.500, 0.500).

As for the formation energy: 17 meV per atom. The value obtained for the total magnetization is 0.000 μB/cell.


A relaxed structure of SmDy12Er3. Source: Alexandria via LeMat-Bulk, functional PBE.

The space group is P4/mmm (No. 123) and the conventional cell measures 5.006, 5.006 and 20.009 Å, with angles of 90.00, 90.00 and 90.00 degrees. The distinct sites, in fractional coordinates, are Sm at (0.000, 0.000, 0.000), Dy at (0.000, 0.500, 0.126), Dy at (0.000, 0.500, 0.375), Dy at (0.500, 0.500, 0.000), Dy at (0.500, 0.500, 0.251), Dy at (0.500, 0.500, 0.500), Er at (0.000, 0.000, 0.251) and Er at (0.000, 0.000, 0.500).

As for the formation energy: 19 meV per atom. The value obtained for the total magnetization is 0.000 μB/cell.


A relaxed structure of Sm3DyEr3. Source: Alexandria via LeMat-Bulk, functional PBE.

The space group is P6_3/m (No. 176) and the conventional cell measures 9.5759, 9.5759 and 5.6985 Å, with angles of 90.00, 90.00 and 120.00 degrees. The distinct sites, in fractional coordinates, are Sm at (0.0486, 0.8072, 0.2500), Dy at (0.3333, 0.6667, 0.2500) and Er at (0.0949, 0.6172, 0.7500).

As for the formation energy: 16 meV per atom. The value obtained for the total magnetization is 0.000 μB/cell.